Record 1
{
  "formula": "TmPaOsRu",
  "functional": "PBE",
  "state": "optimized geometry",
  "lattice_angstrom": [[4.734, 0.000, 0.000], [0.000, 5.003, -0.305], [-2.367, -2.763, 3.561]],
  "species": ["Os", "Ru", "Pa", "Tm"],
  "fractional_positions": [[0.993, 0.034, 0.986], [0.508, 0.454, 0.016], [0.249, 0.759, 0.499], [0.750, 0.253, 0.499]],
  "space_group": "No. 8",
  "dos_at_fermi_per_ev_fu": 1.3,
  "m_tot_mub_per_atom": 0.000
}


Record 2
{
  "formula": "In3BN",
  "functional": "PBE",
  "state": "optimized geometry",
  "lattice_angstrom": [[4.635, 0.000, 0.000], [0.000, 4.635, 0.000], [0.000, 0.000, 4.635]],
  "species": ["B", "N", "In", "In", "In"],
  "fractional_positions": [[0.500, 0.500, 0.500], [0.000, 0.000, 0.000], [0.000, 0.000, 0.500], [0.500, 0.000, 0.000], [0.000, 0.500, 0.000]],
  "relative_energy_mev_per_atom": 0,
  "space_group": "No. 221",
  "formation_energy_uncorrected_ev_per_fu": 6.1,
  "dos_at_fermi_per_ev_fu": 6.2,
  "m_tot_mub_per_atom": 0.000
}


Record 3
{
  "formula": "ErPuMn",
  "functional": "PBE",
  "state": "optimized geometry",
  "lattice_angstrom": [[3.421, 0.000, 0.000], [0.000, 3.421, 0.000], [-1.710, -1.710, 5.661]],
  "species": ["Pu", "Mn", "Er"],
  "fractional_positions": [[0.299, 0.299, 0.599], [0.685, 0.685, 0.370], [0.016, 0.016, 0.031]],
  "space_group": "No. 107",
  "dos_at_fermi_per_ev_fu": 4.6,
  "m_tot_mub_per_atom": 1.176
}


Record 4
{
  "formula": "AlF3",
  "functional": "PBE",
  "state": "optimized geometry",
  "lattice_angstrom": [[4.999, 0.000, 0.000], [0.000, 4.999, 0.000], [2.499, 2.499, 4.547]],
  "species": ["Al", "Al", "F", "F", "F", "F", "F", "F"],
  "fractional_positions": [[0.750, 0.250, 0.500], [0.000, 0.000, 0.000], [0.862, 0.125, 0.250], [0.250, 0.750, 0.500], [0.500, 0.500, 0.000], [0.875, 0.112, 0.750], [0.375, 0.138, 0.750], [0.888, 0.625, 0.250]],
  "space_group": "No. 122",
  "formation_energy_uncorrected_ev_per_fu": -10.5,
  "dos_at_fermi_per_ev_fu": 0.0,
  "m_tot_mub_per_atom": 0.000
}


Record 5
{
  "formula": "AcTmZn2",
  "functional": "PBE",
  "state": "optimized geometry",
  "lattice_angstrom": [[3.688, 0.000, 0.000], [0.000, 3.688, 0.000], [0.000, 0.000, 7.535]],
  "species": ["Zn", "Zn", "Ac", "Tm"],
  "fractional_positions": [[0.000, 0.000, 0.794], [0.000, 0.000, 0.206], [0.500, 0.500, 0.500], [0.500, 0.500, 0.000]],
  "space_group": "No. 123",
  "dos_at_fermi_per_ev_fu": 4.6,
  "m_tot_mub_per_atom": 0.000
}


Record 6
{
  "formula": "MgOs3O",
  "functional": "PBE",
  "state": "optimized geometry",
  "lattice_angstrom": [[4.110, 0.000, 0.000], [0.000, 4.110, 0.000], [0.000, 0.000, 4.110]],
  "species": ["Mg", "Os", "Os", "Os", "O"],
  "fractional_positions": [[0.500, 0.500, 0.500], [0.000, 0.000, 0.500], [0.000, 0.500, 0.000], [0.500, 0.000, 0.000], [0.000, 0.000, 0.000]],
  "relative_energy_mev_per_atom": 0,
  "space_group": "No. 221",
  "formation_energy_uncorrected_ev_per_fu": 3.6,
  "dos_at_fermi_per_ev_fu": 4.4,
  "m_tot_mub_per_atom": 0.000
}


Record 7
{
  "formula": "PaMnCoSn",
  "functional": "PBE",
  "state": "optimized geometry",
  "lattice_angstrom": [[-0.873, -2.008, 4.100], [3.501, -1.018, 2.882], [0.549, 2.414, 3.934]],
  "species": ["Co", "Sn", "Pa", "Mn"],
  "fractional_positions": [[0.750, 0.750, 0.750], [0.500, 0.500, 0.500], [0.000, 0.000, 0.000], [0.250, 0.250, 0.250]],
  "space_group": "No. 216",
  "dos_at_fermi_per_ev_fu": 6.5,
  "m_tot_mub_per_atom": 0.803
}


Record 8
{
  "formula": "Pm3Pb4Au3",
  "functional": "PBE",
  "state": "optimized geometry",
  "lattice_angstrom": [[-3.767, -7.988, -0.929], [1.092, 3.706, -7.996], [7.902, -0.895, 3.951]],
  "species": ["Pm", "Au", "Pb", "Au", "Pb", "Pb", "Pb", "Pm", "Pm", "Pb", "Au", "Au", "Au", "Pm", "Pm", "Pb", "Pb", "Au", "Pb", "Pm"],
  "fractional_positions": [[0.375, 0.125, 0.750], [0.375, 0.250, 0.125], [0.814, 0.500, 0.000], [0.875, 0.625, 0.750], [0.500, 0.314, 0.500], [0.314, 0.500, 0.000], [0.500, 0.814, 0.500], [0.875, 0.250, 0.625], [0.750, 0.625, 0.375], [0.000, 0.000, 0.814], [0.250, 0.375, 0.625], [0.750, 0.125, 0.875], [0.125, 0.750, 0.375], [0.625, 0.750, 0.875], [0.125, 0.375, 0.250], [0.186, 0.686, 0.686], [0.686, 0.186, 0.186], [0.625, 0.875, 0.250], [0.000, 0.000, 0.314], [0.250, 0.875, 0.125]],
  "space_group": "No. 220",
  "dos_at_fermi_per_ev_fu": 9.0,
  "m_tot_mub_per_atom": 0.000
}


Record 9
{
  "formula": "CeSc2H8",
  "functional": "PBE",
  "state": "optimized geometry",
  "lattice_angstrom": [[3.319, 0.000, -1.010], [-0.756, 4.373, -2.484], [0.036, 0.500, 6.076]],
  "species": ["Sc", "Sc", "Ce", "H", "H", "H", "H", "H", "H", "H", "H"],
  "fractional_positions": [[0.828, 0.328, 0.657], [0.172, 0.672, 0.343], [0.500, 0.000, 0.000], [0.331, 0.556, 0.662], [0.155, 0.155, 0.311], [0.845, 0.845, 0.689], [0.000, 0.700, 0.000], [0.000, 0.300, 0.000], [0.669, 0.444, 0.338], [0.669, 0.895, 0.338], [0.331, 0.105, 0.662]],
  "space_group": "No. 71",
  "dos_at_fermi_per_ev_fu": 6.2,
  "m_tot_mub_per_atom": 0.075
}


Record 10
{
  "formula": "Dy3Hg2Bi",
  "functional": "PBE",
  "state": "optimized geometry",
  "lattice_angstrom": [[3.943, 0.000, 0.000], [0.000, 5.203, 0.000], [0.000, 0.000, 15.701]],
  "species": ["Bi", "Hg", "Dy", "Hg", "Hg", "Hg", "Dy", "Dy", "Dy", "Dy", "Dy", "Bi"],
  "fractional_positions": [[0.000, 0.000, 0.000], [0.000, 0.500, 0.824], [0.501, 0.500, 0.000], [0.000, 0.500, 0.176], [0.000, 0.000, 0.324], [0.000, 0.000, 0.676], [0.500, 0.500, 0.668], [0.500, 0.000, 0.168], [0.500, 0.500, 0.332], [0.499, 0.000, 0.500], [0.500, 0.000, 0.832], [0.000, 0.500, 0.500]],
  "space_group": "No. 65",
  "dos_at_fermi_per_ev_fu": 5.6,
  "m_tot_mub_per_atom": 0.000
}


Record 11
{
  "formula": "Nb2MoHIr",
  "functional": "PBE",
  "state": "optimized geometry",
  "lattice_angstrom": [[-3.741, -0.300, 2.063], [0.237, -4.272, -0.192], [1.821, -0.047, 3.294]],
  "species": ["H", "Mo", "Nb", "Ir", "Nb"],
  "fractional_positions": [[0.000, 0.000, 0.000], [0.000, 0.000, 0.500], [0.000, 0.500, 0.000], [0.500, 0.500, 0.500], [0.500, 0.000, 0.000]],
  "relative_energy_mev_per_atom": 11,
  "space_group": "No. 123",
  "dos_at_fermi_per_ev_fu": 4.5,
  "m_tot_mub_per_atom": 0.000
}


Record 12
{
  "formula": "K3Tl2Te4",
  "functional": "PBE",
  "state": "optimized geometry",
  "lattice_angstrom": [[7.991, 0.069, 0.131], [0.135, 9.549, 2.661], [0.102, -0.431, 9.904]],
  "species": ["Te", "Tl", "Te", "K", "Tl", "K", "Tl", "K", "K", "Te", "Te", "Te", "Te", "Tl", "Te", "K", "K", "Te"],
  "fractional_positions": [[0.564, 0.568, 0.740], [0.414, 0.829, 0.575], [0.460, 0.060, 0.721], [0.532, 0.250, 0.993], [0.086, 0.425, 0.171], [0.250, 0.398, 0.602], [0.914, 0.575, 0.829], [0.750, 0.602, 0.398], [0.968, 0.007, 0.750], [0.436, 0.432, 0.260], [0.064, 0.740, 0.568], [0.040, 0.279, 0.940], [0.540, 0.940, 0.279], [0.586, 0.171, 0.425], [0.936, 0.260, 0.432], [0.032, 0.993, 0.250], [0.468, 0.750, 0.007], [0.960, 0.721, 0.060]],
  "relative_energy_mev_per_atom": 0,
  "space_group": "No. 15",
  "formation_energy_uncorrected_ev_per_fu": -5.6,
  "dos_at_fermi_per_ev_fu": 5.2,
  "m_tot_mub_per_atom": 0.000
}


Record 13
{
  "formula": "Hf3Ti4In4",
  "functional": "PBE",
  "state": "optimized geometry",
  "lattice_angstrom": [[-2.459, 1.919, -0.043], [-3.202, -3.922, 8.130], [6.822, 6.209, 0.041]],
  "species": ["In", "Ti", "Hf", "Ti", "Ti", "In", "Hf", "In", "In", "Hf", "Ti"],
  "fractional_positions": [[0.500, 0.785, 0.000], [0.323, 0.570, 0.646], [0.877, 0.877, 0.754], [0.677, 0.430, 0.354], [0.323, 0.075, 0.646], [0.500, 0.215, 0.000], [0.123, 0.123, 0.246], [0.796, 0.296, 0.591], [0.204, 0.704, 0.409], [0.000, 0.500, 0.000], [0.677, 0.925, 0.354]],
  "space_group": "No. 71",
  "dos_at_fermi_per_ev_fu": 15.2,
  "m_tot_mub_per_atom": 0.000
}


Record 14
{
  "formula": "CaBe2Cd",
  "functional": "PBE",
  "state": "optimized geometry",
  "lattice_angstrom": [[-3.991, -1.224, -0.073], [-0.990, -3.955, 0.899], [-2.126, -0.474, 5.232]],
  "species": ["Ca", "Be", "Cd", "Be"],
  "fractional_positions": [[0.750, 0.750, 0.750], [0.938, 0.938, 0.186], [0.250, 0.250, 0.250], [0.562, 0.562, 0.314]],
  "space_group": "No. 12",
  "dos_at_fermi_per_ev_fu": 1.5,
  "m_tot_mub_per_atom": 0.000
}


Record 15
{
  "formula": "Zr2CdTc",
  "functional": "PBE",
  "state": "optimized geometry",
  "lattice_angstrom": [[5.388, 0.020, 0.000], [2.126, 4.950, 0.000], [-3.757, -2.485, 2.956]],
  "species": ["Zr", "Cd", "Tc", "Zr"],
  "fractional_positions": [[0.250, 0.750, 0.500], [0.500, 0.500, 0.000], [0.750, 0.250, 0.500], [0.000, 0.000, 0.000]],
  "space_group": "No. 119",
  "dos_at_fermi_per_ev_fu": 5.2,
  "m_tot_mub_per_atom": 0.000
}


Record 16
{
  "formula": "Cd3GaAg6",
  "functional": "PBE",
  "state": "optimized geometry",
  "lattice_angstrom": [[-4.261, -6.104, -0.663], [0.942, -1.395, 6.785], [-6.152, 4.059, 1.689]],
  "species": ["Ag", "Ag", "Cd", "Ag", "Cd", "Ag", "Ag", "Ga", "Ag", "Cd", "Ag", "Cd", "Ag", "Cd", "Ag", "Ga", "Ag", "Cd", "Ag", "Ag"],
  "fractional_positions": [[0.304, 0.142, 0.748], [0.342, 0.872, 0.046], [0.069, 0.689, 0.246], [0.147, 0.349, 0.056], [0.431, 0.189, 0.254], [0.196, 0.642, 0.752], [0.853, 0.651, 0.944], [0.000, 0.000, 0.000], [0.696, 0.858, 0.252], [0.569, 0.811, 0.746], [0.804, 0.358, 0.248], [0.931, 0.311, 0.754], [0.647, 0.151, 0.556], [0.500, 0.500, 0.000], [0.353, 0.849, 0.444], [0.500, 0.500, 0.500], [0.658, 0.128, 0.954], [0.000, 0.000, 0.500], [0.842, 0.628, 0.546], [0.158, 0.372, 0.454]],
  "relative_energy_mev_per_atom": 71,
  "space_group": "No. 14",
  "dos_at_fermi_per_ev_fu": 2.8,
  "m_tot_mub_per_atom": 0.000
}


Record 17
{
  "formula": "SrMgAu2",
  "functional": "PBE",
  "state": "optimized geometry",
  "lattice_angstrom": [[5.054, 0.016, 0.000], [-0.021, 5.054, 0.000], [0.000, 0.000, 3.722]],
  "species": ["Sr", "Mg", "Au", "Au"],
  "fractional_positions": [[0.000, 0.500, 0.500], [0.500, 0.000, 0.500], [0.500, 0.500, 0.000], [0.000, 0.000, 0.000]],
  "space_group": "No. 65",
  "dos_at_fermi_per_ev_fu": 1.7,
  "m_tot_mub_per_atom": 0.000
}


Record 18
{
  "formula": "Mg3VW",
  "functional": "PBE",
  "state": "optimized geometry",
  "lattice_angstrom": [[-4.151, 3.049, -0.106], [-0.742, -0.836, 5.029], [2.960, 4.067, 1.113]],
  "species": ["V", "Mg", "Mg", "Mg", "W"],
  "fractional_positions": [[0.500, 0.500, 0.500], [0.000, 0.500, 0.000], [0.000, 0.000, 0.500], [0.500, 0.000, 0.000], [0.000, 0.000, 0.000]],
  "relative_energy_mev_per_atom": 0,
  "space_group": "No. 221",
  "dos_at_fermi_per_ev_fu": 7.4,
  "m_tot_mub_per_atom": 0.303
}


Record 19
{
  "formula": "CaLa2Ho",
  "functional": "PBE",
  "state": "optimized geometry",
  "lattice_angstrom": [[-1.547, -3.351, 0.181], [1.819, -2.791, 1.598], [-4.955, 0.866, 11.422]],
  "species": ["La", "La", "Ho", "Ca"],
  "fractional_positions": [[0.745, 0.745, 0.765], [0.255, 0.255, 0.235], [0.000, 0.000, 0.000], [0.500, 0.500, 0.500]],
  "relative_energy_mev_per_atom": 0,
  "space_group": "No. 166",
  "dos_at_fermi_per_ev_fu": 5.2,
  "m_tot_mub_per_atom": 0.000
}


Record 20
{
  "formula": "CsCrSe4",
  "functional": "PBE",
  "state": "optimized geometry",
  "lattice_angstrom": [[-2.085, 2.065, -4.115], [-2.706, -4.011, -1.462], [-5.785, 2.739, 4.919]],
  "species": ["Se", "Cs", "Cr", "Se", "Se", "Se"],
  "fractional_positions": [[0.925, 0.925, 0.296], [0.500, 0.500, 0.500], [0.000, 0.000, 0.000], [0.693, 0.693, 0.078], [0.307, 0.307, 0.922], [0.075, 0.075, 0.704]],
  "space_group": "No. 12",
  "formation_energy_uncorrected_ev_per_fu": -2.1,
  "dos_at_fermi_per_ev_fu": 2.9,
  "m_tot_mub_per_atom": 0.527
}


Record 21
{
  "formula": "AlHgCl3",
  "functional": "PBE",
  "state": "optimized geometry",
  "lattice_angstrom": [[4.843, 0.000, 0.000], [0.000, 4.843, 0.000], [0.000, 0.000, 4.843]],
  "species": ["Cl", "Cl", "Cl", "Hg", "Al"],
  "fractional_positions": [[0.000, 0.000, 0.500], [0.000, 0.500, 0.000], [0.500, 0.000, 0.000], [0.500, 0.500, 0.500], [0.000, 0.000, 0.000]],
  "relative_energy_mev_per_atom": 321,
  "space_group": "No. 221",
  "formation_energy_uncorrected_ev_per_fu": -4.1,
  "dos_at_fermi_per_ev_fu": 2.2,
  "m_tot_mub_per_atom": 0.000
}


Record 22
{
  "formula": "ReTe2Pd",
  "functional": "PBE",
  "state": "optimized geometry",
  "lattice_angstrom": [[0.319, 0.606, 4.727], [-3.374, -1.786, 2.870], [0.991, -3.723, 2.823]],
  "species": ["Te", "Re", "Pd", "Te"],
  "fractional_positions": [[0.750, 0.750, 0.750], [0.500, 0.500, 0.500], [0.000, 0.000, 0.000], [0.250, 0.250, 0.250]],
  "relative_energy_mev_per_atom": 113,
  "space_group": "No. 225",
  "formation_energy_uncorrected_ev_per_fu": 1.9,
  "dos_at_fermi_per_ev_fu": 3.9,
  "m_tot_mub_per_atom": 0.159
}


Record 23
{
  "formula": "La3Ta",
  "functional": "PBE",
  "state": "optimized geometry",
  "lattice_angstrom": [[3.351, 0.000, 0.000], [0.000, 5.051, 0.000], [0.000, 0.000, 6.911]],
  "species": ["La", "La", "La", "Ta"],
  "fractional_positions": [[0.000, 0.000, 0.026], [0.000, 0.000, 0.474], [0.500, 0.500, 0.750], [0.500, 0.500, 0.250]],
  "space_group": "No. 47",
  "dos_at_fermi_per_ev_fu": 7.0,
  "m_tot_mub_per_atom": 0.000
}


Record 24
{
  "formula": "ZrCdRu2",
  "functional": "PBE",
  "state": "optimized geometry",
  "lattice_angstrom": [[-4.490, -1.509, -2.124], [0.482, -2.894, -4.283], [2.040, -0.114, 4.773]],
  "species": ["Ru", "Ru", "Cd", "Zr"],
  "fractional_positions": [[0.000, 0.000, 0.000], [0.250, 0.750, 0.500], [0.750, 0.250, 0.500], [0.500, 0.500, 0.000]],
  "space_group": "No. 119",
  "dos_at_fermi_per_ev_fu": 5.7,
  "m_tot_mub_per_atom": 0.228
}


Record 25
{
  "formula": "Co2HgOs",
  "functional": "PBE",
  "state": "optimized geometry",
  "lattice_angstrom": [[-4.730, -2.604, -4.192], [2.323, -6.298, 1.290], [-2.937, -4.663, 0.637]],
  "species": ["Hg", "Os", "Hg", "Co", "Co", "Co", "Os", "Co"],
  "fractional_positions": [[0.000, 0.000, 0.000], [0.500, 0.500, 0.000], [0.750, 0.250, 0.500], [0.375, 0.415, 0.750], [0.165, 0.625, 0.250], [0.585, 0.125, 0.250], [0.250, 0.750, 0.500], [0.875, 0.835, 0.750]],
  "space_group": "No. 122",
  "dos_at_fermi_per_ev_fu": 5.1,
  "m_tot_mub_per_atom": 0.854
}


Number 1: DFT total energy -9.0256 eV per atom. Number 2: DFT total energy -3.4301 eV per atom. Number 3: DFT total energy -9.2535 eV per atom. Number 4: DFT total energy -4.9554 eV per atom. Number 5: DFT total energy -3.0482 eV per atom. Number 6: DFT total energy -7.3202 eV per atom. Number 7: DFT total energy -7.5314 eV per atom. Number 8: DFT total energy -4.4308 eV per atom. Number 9: DFT total energy -4.6531 eV per atom. Number 10: DFT total energy -3.5706 eV per atom. Number 11: DFT total energy -8.8008 eV per atom. Number 12: DFT total energy -2.9066 eV per atom. Number 13: DFT total energy -6.5620 eV per atom. Number 14: DFT total energy -2.4487 eV per atom. Number 15: DFT total energy -7.0579 eV per atom. Number 16: DFT total energy -2.2457 eV per atom. Number 17: DFT total energy -2.9934 eV per atom. Number 18: DFT total energy -3.7250 eV per atom. Number 19: DFT total energy -4.0780 eV per atom. Number 20: DFT total energy -4.4166 eV per atom. Number 21: DFT total energy -2.7321 eV per atom. Number 22: DFT total energy -5.5114 eV per atom. Number 23: DFT total energy -6.2612 eV per atom. Number 24: DFT total energy -6.9922 eV per atom. Number 25: DFT total energy -5.5112 eV per atom.